# NaPuI3

Crystalline NaPuI3 at its relaxed geometry (PBE-GGA, Alexandria via LeMat-Bulk).

Properties
For the electronic total energy, the calculation gives -5.07 eV/atom. The value obtained for the uncorrected formation energy is -97 kJ/mol of atoms. For the total magnetic moment, the calculation gives 6.0 μB per formula unit. The calculated volume is 478.4 Å³/cell. As for the crystal system: monoclinic.

a b c (Å): 4.4884 7.9867 13.5413
angles (deg): 99.77 90.00 90.00
Atoms (fractional coordinates):
Pu (0.7500, 0.7297, 0.4565)
Na (0.2500, 0.9891, 0.1082)
I (0.2500, 0.7668, 0.9021)
I (0.2500, 0.9551, 0.3609)
I (0.2500, 0.4652, 0.3596)
I (0.7500, 0.0449, 0.6391)
I (0.7500, 0.2332, 0.0979)
Na (0.7500, 0.0109, 0.8918)
I (0.7500, 0.5348, 0.6404)
Pu (0.2500, 0.2703, 0.5435)


# LaTm5Mg6

Crystalline LaTm5Mg6 at its relaxed geometry (PBE-GGA, Alexandria via LeMat-Bulk).

Properties
The energy of formation comes out at -64 meV/atom. For the electronic total energy, the calculation gives -3.13 eV/atom. For the total magnetic moment, the calculation gives 0.0 μB per formula unit. The calculated volume is 325.5 Å³/cell. As for the crystal system: orthorhombic.

a b c (Å): 5.3514 7.5672 8.4712
angles (deg): 90.00 71.59 90.00
Atoms (fractional coordinates):
Mg (0.5000, 0.2554, 0.0000)
Mg (0.1696, 0.7434, 0.6609)
Mg (0.8304, 0.2566, 0.3391)
Mg (0.1696, 0.2566, 0.6609)
Mg (0.8304, 0.7434, 0.3391)
Mg (0.5000, 0.7446, 0.0000)
La (0.0000, 0.0000, 0.0000)
Tm (0.3362, 0.5000, 0.3275)
Tm (0.3309, 0.0000, 0.3381)
Tm (0.0000, 0.5000, 0.0000)
Tm (0.6691, 0.0000, 0.6619)
Tm (0.6638, 0.5000, 0.6725)


# AcIn2Ag3

Crystalline AcIn2Ag3 at its relaxed geometry (PBE-GGA, Alexandria via LeMat-Bulk).

Properties
The energy of formation comes out at -226 meV/atom. For the electronic total energy, the calculation gives -3.25 eV/atom. For the total magnetic moment, the calculation gives 0.0 μB per formula unit. The energy above the most stable polymorph in this dataset is 2.3 kJ per mole of atoms. The calculated volume is 298.5 Å³/cell. As for the crystal system: orthorhombic.

a b c (Å): 6.2931 6.9443 6.9443
angles (deg): 100.37 90.00 90.00
Atoms (fractional coordinates):
Ag (0.2500, 0.5589, 0.8394)
In (0.0000, 0.7816, 0.2184)
Ag (0.7500, 0.4411, 0.1606)
Ac (0.2500, 0.3289, 0.3289)
Ag (0.7500, 0.1606, 0.4411)
In (0.0000, 0.2184, 0.7816)
Ag (0.7500, 0.0385, 0.0385)
Ag (0.2500, 0.9615, 0.9615)
Ag (0.2500, 0.8394, 0.5589)
In (0.5000, 0.7816, 0.2184)
In (0.5000, 0.2184, 0.7816)
Ac (0.7500, 0.6711, 0.6711)


# ZnTcMoW2

Crystalline ZnTcMoW2 at its relaxed geometry (PBE-GGA, Alexandria via LeMat-Bulk).

Properties
The energy of formation comes out at 1980 meV/atom. For the electronic total energy, the calculation gives -7.70 eV/atom. For the total magnetic moment, the calculation gives 0.0 μB per formula unit. The calculated volume is 90.4 Å³/cell. As for the crystal system: tetragonal.

a b c (Å): 4.5034 4.4572 4.5034
angles (deg): 90.00 90.00 90.00
Atoms (fractional coordinates):
W (0.5000, 0.0000, 0.0000)
Tc (0.5000, 0.5000, 0.5000)
W (0.0000, 0.0000, 0.5000)
Zn (0.0000, 0.0000, 0.0000)
Mo (0.0000, 0.5000, 0.0000)


# AcHoAu

Crystalline AcHoAu at its relaxed geometry (PBE-GGA, Alexandria via LeMat-Bulk).

Properties
The energy of formation comes out at -349 meV/atom. For the electronic total energy, the calculation gives -4.34 eV/atom. For the total magnetic moment, the calculation gives 0.0 μB per formula unit. The energy above the most stable polymorph in this dataset is 23.6 kJ per mole of atoms. The calculated volume is 100.7 Å³/cell. As for the crystal system: cubic.

a b c (Å): 5.2214 5.2214 5.2214
angles (deg): 60.00 60.00 60.00
Atoms (fractional coordinates):
Ac (0.5000, 0.5000, 0.5000)
Au (0.2500, 0.2500, 0.2500)
Ho (0.0000, 0.0000, 0.0000)


# CoGeSb3

Crystalline CoGeSb3 at its relaxed geometry (PBE-GGA, Alexandria via LeMat-Bulk).

Properties
For the electronic total energy, the calculation gives -4.38 eV/atom. The value obtained for the uncorrected formation energy is 42 kJ/mol of atoms. For the total magnetic moment, the calculation gives 0.0 μB per formula unit. The energy above the most stable polymorph in this dataset is 0.0 kJ per mole of atoms. The calculated volume is 121.3 Å³/cell. As for the crystal system: cubic.

a b c (Å): 4.9505 4.9505 4.9505
angles (deg): 90.00 90.00 90.00
Atoms (fractional coordinates):
Co (0.0000, 0.0000, 0.0000)
Sb (0.0000, 0.0000, 0.5000)
Sb (0.5000, 0.0000, 0.0000)
Ge (0.5000, 0.5000, 0.5000)
Sb (0.0000, 0.5000, 0.0000)


# Zr2PbSe

Crystalline Zr2PbSe at its relaxed geometry (PBE-GGA, Alexandria via LeMat-Bulk).

Properties
For the electronic total energy, the calculation gives -6.01 eV/atom. The value obtained for the uncorrected formation energy is 6 kJ/mol of atoms. For the total magnetic moment, the calculation gives 0.0 μB per formula unit. The energy above the most stable polymorph in this dataset is 66.2 kJ per mole of atoms. The calculated volume is 254.1 Å³/cell. As for the crystal system: tetragonal.

a b c (Å): 6.2515 6.2515 7.8616
angles (deg): 66.57 66.57 90.00
Atoms (fractional coordinates):
Se (0.2500, 0.7500, 0.5000)
Pb (0.7500, 0.2500, 0.5000)
Zr (0.8750, 0.8426, 0.7500)
Zr (0.3750, 0.4074, 0.7500)
Zr (0.5926, 0.1250, 0.2500)
Pb (0.0000, 0.0000, 0.0000)
Zr (0.1574, 0.6250, 0.2500)
Se (0.5000, 0.5000, 0.0000)


# Nd5PuTe8

Crystalline Nd5PuTe8 at its relaxed geometry (PBE-GGA, Alexandria via LeMat-Bulk).

Properties
For the electronic total energy, the calculation gives -5.91 eV/atom. The value obtained for the uncorrected formation energy is -134 kJ/mol of atoms. For the total magnetic moment, the calculation gives 6.6 μB per formula unit. The calculated volume is 432.2 Å³/cell. As for the crystal system: tetragonal.

a b c (Å): 8.2497 8.2497 8.2497
angles (deg): 109.43 109.56 109.43
Atoms (fractional coordinates):
Te (0.6220, 0.8991, 0.8726)
Te (0.1274, 0.7493, 0.0265)
Pu (0.2500, 0.5000, 0.7500)
Nd (0.7529, 0.6256, 0.6276)
Te (0.4747, 0.5986, 0.2250)
Nd (0.5000, 0.0000, 0.5000)
Te (0.7750, 0.2496, 0.3735)
Te (0.6265, 0.4014, 0.8761)
Nd (0.0021, 0.3744, 0.1274)
Nd (0.3724, 0.1253, 0.9979)
Te (0.2771, 0.2507, 0.3780)
Te (0.1239, 0.7504, 0.5253)
Nd (0.8726, 0.8747, 0.2471)
Te (0.9735, 0.1009, 0.7229)


# Cs3Li4B7O14

Crystalline Cs3Li4B7O14 at its relaxed geometry (PBE-GGA, Alexandria via LeMat-Bulk).

Properties
For the electronic total energy, the calculation gives -6.86 eV/atom. The value obtained for the uncorrected formation energy is -227 kJ/mol of atoms. For the total magnetic moment, the calculation gives 0.0 μB per formula unit. The calculated volume is 1159.4 Å³/cell. As for the crystal system: trigonal.

a b c (Å): 7.0296 7.0296 27.0931
angles (deg): 90.00 90.00 120.00
Atoms (fractional coordinates):
B (0.6442, 0.1505, 0.2074)
B (0.2227, 0.3109, 0.0427)
O (0.4246, 0.9224, 0.4971)
B (0.4937, 0.8495, 0.4592)
O (0.9269, 0.9956, 0.3779)
O (0.1551, 0.6525, 0.2438)
Li (0.4621, 0.1173, 0.3778)
O (0.8122, 0.3746, 0.2088)
O (0.7764, 0.7764, 0.0000)
B (0.5070, 0.5389, 0.4182)
Li (0.7547, 0.3617, 0.8111)
O (0.9877, 0.6176, 0.5793)
O (0.3719, 0.3719, 0.0000)
B (0.5063, 0.3558, 0.8741)
Cs (0.5358, 0.9978, 0.0580)
O (0.6298, 0.0123, 0.2459)
O (0.5026, 0.3475, 0.4229)
O (0.5022, 0.0776, 0.1696)
B (0.4930, 0.0319, 0.9152)
B (0.0323, 0.0000, 0.3333)
B (0.6891, 0.9118, 0.3760)
B (0.3109, 0.2227, 0.9573)
B (0.0000, 0.0323, 0.6667)
B (0.8495, 0.4937, 0.5407)
Cs (0.0000, 0.9193, 0.1667)
O (0.0776, 0.5022, 0.8304)
O (0.3746, 0.8122, 0.7912)
B (0.7773, 0.0882, 0.2907)
O (0.5738, 0.6661, 0.3754)
O (0.3824, 0.3702, 0.9126)
O (0.9224, 0.4246, 0.5029)
B (0.5389, 0.5070, 0.5818)
O (0.9313, 0.0044, 0.2888)
Li (0.3617, 0.7547, 0.1889)
O (0.0000, 0.6281, 0.6667)
O (0.6281, 0.0000, 0.3333)
O (0.0731, 0.0687, 0.9554)
Li (0.1173, 0.4621, 0.6222)
Cs (0.9193, 0.0000, 0.8333)
O (0.6525, 0.1551, 0.7562)
O (0.5624, 0.1878, 0.8754)
O (0.3475, 0.5026, 0.5771)
B (0.9677, 0.9677, 0.0000)
O (0.3702, 0.3824, 0.0874)
B (0.9118, 0.6891, 0.6240)
O (0.4978, 0.5754, 0.1637)
Cs (0.0807, 0.0807, 0.5000)
B (0.3558, 0.5063, 0.1259)
Li (0.2453, 0.6070, 0.5222)
O (0.0044, 0.9313, 0.7112)
O (0.0000, 0.2236, 0.6667)
O (0.1878, 0.5624, 0.1246)
Li (0.6383, 0.3930, 0.1445)
O (0.6254, 0.4376, 0.5421)
O (0.9077, 0.3339, 0.2913)
O (0.0687, 0.0731, 0.0446)
B (0.1505, 0.6442, 0.7926)
Cs (0.5380, 0.0022, 0.6087)
O (0.4376, 0.6254, 0.4579)
O (0.6176, 0.9877, 0.4207)
O (0.5754, 0.4978, 0.8363)
O (0.8449, 0.4974, 0.0895)
O (0.9956, 0.9269, 0.6221)
O (0.4262, 0.0923, 0.9579)
Li (0.3448, 0.8827, 0.2889)
O (0.0123, 0.6298, 0.7541)
Cs (0.0022, 0.5380, 0.3913)
Cs (0.9978, 0.5358, 0.9420)
Cs (0.4642, 0.4620, 0.2754)
Li (0.8827, 0.3448, 0.7111)
O (0.4974, 0.8449, 0.9105)
B (0.9681, 0.4611, 0.2485)
O (0.6661, 0.5738, 0.6246)
O (0.3339, 0.9077, 0.7087)
B (0.0319, 0.4930, 0.0848)
Li (0.6070, 0.2453, 0.4778)
Cs (0.4620, 0.4642, 0.7246)
B (0.4611, 0.9681, 0.7515)
Li (0.6552, 0.5379, 0.0444)
O (0.0923, 0.4262, 0.0421)
O (0.2236, 0.0000, 0.3333)
Li (0.3930, 0.6383, 0.8555)
Li (0.5379, 0.6552, 0.9556)
B (0.0882, 0.7773, 0.7093)


# LaCuBr2

Crystalline LaCuBr2 at its relaxed geometry (PBE-GGA, Alexandria via LeMat-Bulk).

Properties
For the electronic total energy, the calculation gives -3.84 eV/atom. The value obtained for the uncorrected formation energy is -72 kJ/mol of atoms. For the total magnetic moment, the calculation gives 0.0 μB per formula unit. The energy above the most stable polymorph in this dataset is 21.8 kJ per mole of atoms. The calculated volume is 101.4 Å³/cell. As for the crystal system: cubic.

a b c (Å): 5.2344 5.2344 5.2344
angles (deg): 60.00 60.00 60.00
Atoms (fractional coordinates):
Cu (0.5000, 0.5000, 0.5000)
La (0.7500, 0.7500, 0.7500)
Br (0.2500, 0.2500, 0.2500)
Br (0.0000, 0.0000, 0.0000)


# Pr4Nd2Tm

Crystalline Pr4Nd2Tm at its relaxed geometry (PBE-GGA, Alexandria via LeMat-Bulk).

Properties
The energy of formation comes out at 60 meV/atom. For the electronic total energy, the calculation gives -4.67 eV/atom. For the total magnetic moment, the calculation gives 0.0 μB per formula unit. The energy above the most stable polymorph in this dataset is 0.0 kJ per mole of atoms. The calculated volume is 493.6 Å³/cell. As for the crystal system: monoclinic.

a b c (Å): 12.7430 12.7430 6.9322
angles (deg): 96.98 96.98 150.16
Atoms (fractional coordinates):
Pr (0.7957, 0.1844, 0.3989)
Nd (0.3063, 0.6288, 0.9545)
Tm (0.4189, 0.6687, 0.5001)
Pr (0.1844, 0.7957, 0.8989)
Pr (0.0367, 0.1475, 0.6015)
Nd (0.1018, 0.9240, 0.5454)
Pr (0.7160, 0.1789, 0.8714)
Pr (0.1475, 0.0367, 0.1015)
Tm (0.6687, 0.4189, 0.0001)
Pr (0.5955, 0.5580, 0.6298)
Nd (0.9240, 0.1018, 0.0454)
Pr (0.1789, 0.7160, 0.3714)
Nd (0.6288, 0.3062, 0.4545)
Pr (0.5580, 0.5955, 0.1298)


# Sm3Er2Tm6Zr

Crystalline Sm3Er2Tm6Zr at its relaxed geometry (PBE-GGA, Alexandria via LeMat-Bulk).

Properties
The energy of formation comes out at 43 meV/atom. For the electronic total energy, the calculation gives -4.85 eV/atom. For the total magnetic moment, the calculation gives 0.0 μB per formula unit. The calculated volume is 361.8 Å³/cell. As for the crystal system: monoclinic.

a b c (Å): 6.0623 6.0623 11.5397
angles (deg): 95.02 95.02 119.95
Atoms (fractional coordinates):
Sm (0.1662, 0.8338, 0.5000)
Tm (0.5930, 0.9197, 0.7577)
Tm (0.9197, 0.5930, 0.7577)
Sm (0.8338, 0.1662, 0.5000)
Sm (0.5000, 0.5000, 0.5000)
Tm (0.7541, 0.7541, 0.2419)
Tm (0.4070, 0.0803, 0.2423)
Er (0.3332, 0.6668, 0.0000)
Er (0.6668, 0.3332, 0.0000)
Zr (0.0000, 0.0000, 0.0000)
Tm (0.0803, 0.4070, 0.2423)
Tm (0.2459, 0.2459, 0.7581)